[1]
{"formula": "Cu2AgSe3", "functional": "PBE", "state": "relaxed", "lattice": [[-3.8698, -4.4519, 3.6903], [6.6510, 1.1351, 1.7000], [-2.7555, 5.9430, 2.1169]], "species": ["Cu", "Cu", "Cu", "Cu", "Ag", "Ag", "Se", "Se", "Se", "Se", "Se", "Se"], "fractional_positions": [[0.5959, 0.4316, 0.0086], [0.7602, 0.2673, 0.5146], [0.4316, 0.5959, 0.5086], [0.2673, 0.7602, 0.0146], [0.0933, 0.9260, 0.4973], [0.9260, 0.0933, 0.9973], [0.0531, 0.2507, 0.3971], [0.2507, 0.0531, 0.8971], [0.8855, 0.4138, 0.8791], [0.4138, 0.8855, 0.3791], [0.5262, 0.6915, 0.8746], [0.6915, 0.5262, 0.3746]], "formation_energy_uncorrected_ev_per_fu": -0.383, "total_magnetization_mub_per_fu": 0.00}

[2]
{"formula": "CsH", "functional": "PBE", "state": "relaxed", "lattice": [[-5.4749, 8.6552, -2.0964], [-7.2015, -2.8552, 7.0192], [3.1625, 3.0909, 4.5019]], "species": ["Cs", "Cs", "Cs", "Cs", "Cs", "Cs", "Cs", "Cs", "H", "H", "H", "H", "H", "H", "H", "H"], "fractional_positions": [[0.3515, 0.8515, 0.0000], [0.3515, 0.1485, 0.5000], [0.6485, 0.8515, 0.5000], [0.6485, 0.1485, 0.0000], [0.1485, 0.6485, 0.5000], [0.1485, 0.3515, 0.0000], [0.8515, 0.6485, 0.0000], [0.8515, 0.3515, 0.5000], [0.8542, 0.3542, 0.0000], [0.8542, 0.6458, 0.5000], [0.1458, 0.3542, 0.5000], [0.1458, 0.6458, 0.0000], [0.6458, 0.1458, 0.5000], [0.6458, 0.8542, 0.0000], [0.3542, 0.1458, 0.0000], [0.3542, 0.8542, 0.5000]], "dft_energy_ev_per_fu": -4.48, "total_magnetization_mub_per_fu": 0.00}

[3]
{"formula": "CaLaTa2C", "functional": "PBE", "state": "relaxed", "lattice": [[5.1055, 0.0000, 0.0000], [0.0000, 4.5551, 0.0000], [0.0000, 0.0000, 5.1055]], "species": ["Ca", "La", "C", "Ta", "Ta"], "fractional_positions": [[0.0000, 0.0000, 0.0000], [0.5000, 0.5000, 0.5000], [0.0000, 0.5000, 0.0000], [0.0000, 0.0000, 0.5000], [0.5000, 0.0000, 0.0000]], "formation_enthalpy_0k_mev_per_atom": 2412, "total_magnetization_mub_per_fu": 2.64}

[4]
{"formula": "RbLiTh2Te4", "functional": "PBE", "state": "relaxed", "lattice": [[4.5724, 0.0000, 0.0000], [-2.2862, 7.6588, 0.0000], [0.0000, 0.0000, 15.9442]], "species": ["Rb", "Rb", "Li", "Li", "Th", "Th", "Th", "Th", "Te", "Te", "Te", "Te", "Te", "Te", "Te", "Te"], "fractional_positions": [[0.1126, 0.2251, 0.7500], [0.8874, 0.7749, 0.2500], [0.8380, 0.6760, 0.7500], [0.1620, 0.3240, 0.2500], [0.3743, 0.7485, 0.5585], [0.6257, 0.2515, 0.0585], [0.6257, 0.2515, 0.4415], [0.3743, 0.7485, 0.9415], [0.2653, 0.5306, 0.1099], [0.7347, 0.4694, 0.6099], [0.7347, 0.4694, 0.8901], [0.2653, 0.5306, 0.3901], [0.0000, 0.0000, 0.5000], [0.0000, 0.0000, 0.0000], [0.4317, 0.8634, 0.7500], [0.5683, 0.1366, 0.2500]], "formation_energy_uncorrected_ev_per_fu": -8.947, "total_magnetization_mub_per_fu": 0.00}

[5]
{"formula": "Na3Pr2US6", "functional": "PBE", "state": "relaxed", "lattice": [[-0.0503, -3.4853, 6.2029], [6.1807, 1.9750, -2.9195], [-2.3639, 6.3483, 2.1851]], "species": ["Na", "Na", "Na", "Pr", "Pr", "U", "S", "S", "S", "S", "S", "S"], "fractional_positions": [[0.1674, 0.8326, 0.5000], [0.8326, 0.1674, 0.5000], [0.5000, 0.5000, 0.5000], [0.3334, 0.6666, 0.0000], [0.6666, 0.3334, 0.0000], [0.0000, 0.0000, 0.0000], [0.9219, 0.5992, 0.7658], [0.7552, 0.7552, 0.2324], [0.0781, 0.4008, 0.2342], [0.5992, 0.9219, 0.7658], [0.2448, 0.2448, 0.7676], [0.4008, 0.0781, 0.2342]], "formation_energy_uncorrected_ev_per_fu": -19.387, "total_magnetization_mub_per_fu": 3.01}

[6]
{"formula": "NpZnNi2H8", "functional": "PBE", "state": "relaxed", "lattice": [[4.5749, 0.0000, 0.0000], [-2.2875, 3.9620, 0.0000], [0.0000, 0.0000, 6.2438]], "species": ["Np", "Zn", "Ni", "Ni", "H", "H", "H", "H", "H", "H", "H", "H"], "fractional_positions": [[0.0000, 0.0000, 0.5000], [0.0000, 0.0000, 0.0000], [0.3333, 0.6667, 0.6664], [0.6667, 0.3333, 0.3336], [0.1598, 0.3196, 0.7991], [0.1598, 0.8402, 0.7991], [0.6804, 0.8402, 0.7991], [0.3196, 0.1598, 0.2009], [0.6667, 0.3333, 0.5836], [0.3333, 0.6667, 0.4164], [0.8402, 0.6804, 0.2009], [0.8402, 0.1598, 0.2009]], "dft_energy_ev_per_fu": -51.45, "total_magnetization_mub_per_fu": 3.24}

[7]
{"formula": "K3Tl6Hg2", "functional": "PBE", "state": "relaxed", "lattice": [[-1.1135, -4.7040, -1.1559], [3.5988, -1.5973, 3.0334], [-11.5013, 2.6527, 10.9700]], "species": ["K", "K", "K", "Tl", "Tl", "Tl", "Tl", "Tl", "Tl", "Hg", "Hg"], "fractional_positions": [[0.0000, 0.0000, 0.0000], [0.7964, 0.7964, 0.5928], [0.2036, 0.2036, 0.4072], [0.6072, 0.1072, 0.2143], [0.1072, 0.6072, 0.2143], [0.3928, 0.8928, 0.7857], [0.8928, 0.3928, 0.7857], [0.6760, 0.6760, 0.3520], [0.3240, 0.3240, 0.6480], [0.4535, 0.4535, 0.9070], [0.5465, 0.5465, 0.0930]], "formation_enthalpy_0k_mev_per_atom": -103, "total_magnetization_mub_per_fu": 0.00}

[8]
{"formula": "VFeTcMo", "functional": "PBE", "state": "relaxed", "lattice": [[-2.2170, 1.2055, 3.4588], [-0.5484, -2.7320, 3.2507], [2.0219, 0.6605, 3.7158]], "species": ["Mo", "V", "Tc", "Fe"], "fractional_positions": [[0.0000, 0.0000, 0.0000], [0.5000, 0.5000, 0.5000], [0.7500, 0.7500, 0.7500], [0.2500, 0.2500, 0.2500]], "formation_enthalpy_0k_mev_per_atom": -33, "total_magnetization_mub_per_fu": 1.74}

[9]
{"formula": "LiSm2Ni2", "functional": "PBE", "state": "relaxed", "lattice": [[3.7752, 0.0000, 0.0000], [0.0000, 3.8184, -1.0855], [0.0000, 0.0821, 7.5470]], "species": ["Li", "Sm", "Sm", "Ni", "Ni"], "fractional_positions": [[0.0000, 0.0000, 0.0000], [0.5000, 0.6412, 0.2824], [0.5000, 0.3588, 0.7176], [0.0000, 0.2010, 0.4020], [0.0000, 0.7990, 0.5980]], "formation_enthalpy_0k_mev_per_atom": -244, "total_magnetization_mub_per_fu": 0.00}

[10]
{"formula": "AlOs", "functional": "PBE", "state": "relaxed", "lattice": [[-3.6560, 1.9456, -7.9051], [0.4719, -8.6004, -2.3350], [-3.5909, -0.6074, 1.5113]], "species": ["Al", "Al", "Al", "Al", "Al", "Al", "Al", "Al", "Os", "Os", "Os", "Os", "Os", "Os", "Os", "Os"], "fractional_positions": [[0.7040, 0.6376, 0.5000], [0.2960, 0.3624, 0.5000], [0.3624, 0.7040, 0.5000], [0.6376, 0.2960, 0.5000], [0.8636, 0.2219, 0.0000], [0.1364, 0.7781, 0.0000], [0.7781, 0.8636, 0.0000], [0.2219, 0.1364, 0.0000], [0.8770, 0.4270, 0.5000], [0.1230, 0.5730, 0.5000], [0.5730, 0.8770, 0.5000], [0.4270, 0.1230, 0.5000], [0.9072, 0.6159, 0.0000], [0.0928, 0.3841, 0.0000], [0.3841, 0.9072, 0.0000], [0.6159, 0.0928, 0.0000]], "formation_enthalpy_0k_mev_per_atom": 265, "total_magnetization_mub_per_fu": 0.00}

[11]
{"formula": "LaMgRu", "functional": "PBE", "state": "relaxed", "lattice": [[-2.4397, 1.0866, -3.6427], [1.8767, -2.4756, -4.8042], [-1.0875, -7.0479, -1.3782]], "species": ["La", "La", "Mg", "Mg", "Ru", "Ru"], "fractional_positions": [[0.2127, 0.8655, 0.4673], [0.3819, 0.5275, 0.1284], [0.9949, 0.3012, 0.8774], [0.5995, 0.0920, 0.7179], [0.6521, 0.9872, 0.1466], [0.9424, 0.4060, 0.4490]], "formation_enthalpy_0k_mev_per_atom": -210, "total_magnetization_mub_per_fu": 0.00}

[12]
{"formula": "LiPCl2", "functional": "PBE", "state": "relaxed", "lattice": [[-6.3910, 0.9169, -5.4990], [-4.0046, -3.3244, -6.6960], [3.6908, -0.0782, 7.6352]], "species": ["Cl", "Cl", "Li", "P"], "fractional_positions": [[0.0000, 0.0000, 0.0000], [0.2500, 0.7500, 0.5000], [0.5000, 0.5000, 0.0000], [0.7500, 0.2500, 0.5000]], "formation_energy_uncorrected_ev_per_fu": -1.537, "total_magnetization_mub_per_fu": 0.50, "de_polymorph_ev_per_atom": 0.2748}

[13]
{"formula": "SrCoSe2", "functional": "PBE", "state": "relaxed", "lattice": [[-1.0620, 1.6428, 3.4755], [1.9341, -1.0089, 3.3387], [4.3968, 4.9014, 1.2870]], "species": ["Co", "Se", "Se", "Sr"], "fractional_positions": [[0.2500, 0.2500, 0.2500], [0.9780, 0.9780, 0.0693], [0.5220, 0.5220, 0.4307], [0.7500, 0.7500, 0.7500]], "formation_energy_uncorrected_ev_per_fu": -3.168, "total_magnetization_mub_per_fu": 0.97, "de_polymorph_ev_per_atom": 0.1340}

[14]
{"formula": "CaAc2Ni2", "functional": "PBE", "state": "relaxed", "lattice": [[4.2177, 0.0000, 0.0000], [0.0000, 5.8063, -0.5886], [-2.1089, -2.2827, 6.4919]], "species": ["Ca", "Ac", "Ac", "Ni", "Ni"], "fractional_positions": [[0.0000, 0.0000, 0.0000], [0.3251, 0.3253, 0.6502], [0.6749, 0.6747, 0.3498], [0.6602, 0.1595, 0.3205], [0.3398, 0.8405, 0.6795]], "formation_enthalpy_0k_mev_per_atom": -151, "total_magnetization_mub_per_fu": 0.00, "de_polymorph_ev_per_atom": 0.0519}

[15]
{"formula": "CsSrO2F", "functional": "PBE", "state": "relaxed", "lattice": [[4.8650, 0.0000, 0.0000], [0.0000, 4.8650, 0.0000], [0.0000, 0.0000, 4.8746]], "species": ["Cs", "Sr", "O", "O", "F"], "fractional_positions": [[0.5000, 0.5000, 0.5000], [0.0000, 0.0000, 0.0000], [0.0000, 0.5000, 0.0000], [0.5000, 0.0000, 0.0000], [0.0000, 0.0000, 0.5000]], "formation_energy_uncorrected_ev_per_fu": -8.772, "total_magnetization_mub_per_fu": 2.00}

[16]
{"formula": "TmGa4Au", "functional": "PBE", "state": "relaxed", "lattice": [[5.4602, 0.0000, 0.0000], [2.7301, 4.7287, 0.0000], [2.7301, 1.5762, 4.4583]], "species": ["Tm", "Au", "Ga", "Ga", "Ga", "Ga"], "fractional_positions": [[0.2500, 0.2500, 0.2500], [0.0000, 0.0000, 0.0000], [0.6247, 0.6247, 0.1258], [0.6247, 0.1258, 0.6247], [0.6247, 0.6247, 0.6247], [0.1258, 0.6247, 0.6247]], "formation_enthalpy_0k_mev_per_atom": -214, "total_magnetization_mub_per_fu": 0.00, "de_polymorph_ev_per_atom": 0.1549}

[17]
{"formula": "Tb2Pr4NdTh", "functional": "PBE", "state": "relaxed", "lattice": [[5.1647, 0.0000, 0.0000], [0.0000, 5.0396, 1.1024], [0.0001, 2.8346, 11.2412]], "species": ["Tb", "Tb", "Pr", "Pr", "Pr", "Pr", "Nd", "Th"], "fractional_positions": [[0.0000, 0.0000, 0.0000], [0.5000, 0.0000, 0.5000], [0.0000, 0.7536, 0.7462], [0.0000, 0.2464, 0.2538], [0.5000, 0.7452, 0.2548], [0.5000, 0.2548, 0.7452], [0.5000, 0.5000, 0.0000], [0.0000, 0.5000, 0.5000]], "formation_enthalpy_0k_mev_per_atom": 39, "total_magnetization_mub_per_fu": 0.00}

[18]
{"formula": "La6PtAu", "functional": "PBE", "state": "relaxed", "lattice": [[-0.4344, -5.4098, -4.4626], [1.6305, -6.4828, 2.1694], [-6.1806, -4.9761, 1.1301]], "species": ["La", "La", "La", "La", "La", "La", "Pt", "Au"], "fractional_positions": [[0.0607, 0.4258, 0.7496], [0.7635, 0.0599, 0.7498], [0.5744, 0.2355, 0.2504], [0.2365, 0.9401, 0.2502], [0.9393, 0.5742, 0.2504], [0.4256, 0.7645, 0.7496], [0.0000, 0.0000, 0.0000], [0.5000, 0.5000, 0.5000]], "formation_enthalpy_0k_mev_per_atom": -363, "total_magnetization_mub_per_fu": 0.00}

[19]
{"formula": "KSrHfO4", "functional": "PBE", "state": "relaxed", "lattice": [[4.1432, 0.0000, 0.0000], [0.0000, 4.1432, 0.0000], [-2.0716, -2.0716, 6.5497]], "species": ["K", "Sr", "Hf", "O", "O", "O", "O"], "fractional_positions": [[0.3497, 0.3497, 0.6994], [0.6446, 0.6446, 0.2892], [0.9929, 0.9929, 0.9858], [0.0097, 0.5097, 0.0195], [0.5097, 0.0097, 0.0195], [0.8382, 0.8382, 0.6764], [0.1551, 0.1551, 0.3102]], "formation_energy_uncorrected_ev_per_fu": -18.176, "total_magnetization_mub_per_fu": 1.03}

[20]
{"formula": "LaTiAl2", "functional": "PBE", "state": "relaxed", "lattice": [[0.0000, 3.5104, 3.5104], [3.5104, 0.0000, 3.5104], [3.5104, 3.5104, 0.0000]], "species": ["Ti", "Al", "Al", "La"], "fractional_positions": [[0.0000, 0.0000, 0.0000], [0.2500, 0.2500, 0.2500], [0.7500, 0.7500, 0.7500], [0.5000, 0.5000, 0.5000]], "formation_enthalpy_0k_mev_per_atom": -130, "total_magnetization_mub_per_fu": 1.00, "de_polymorph_ev_per_atom": 0.1353}

[21]
{"formula": "Pm8CoIr3Cl4", "functional": "PBE", "state": "relaxed", "lattice": [[8.1347, 0.0000, 0.0000], [0.0000, 8.8293, 0.4796], [-4.0674, -4.0595, 5.7558]], "species": ["Pm", "Pm", "Pm", "Pm", "Pm", "Pm", "Pm", "Pm", "Co", "Ir", "Ir", "Ir", "Cl", "Cl", "Cl", "Cl"], "fractional_positions": [[0.2296, 0.7014, 0.9720], [0.2295, 0.7013, 0.4590], [0.2649, 0.2949, 0.5298], [0.7424, 0.7014, 0.9720], [0.2576, 0.2986, 0.0280], [0.7351, 0.7051, 0.4702], [0.7705, 0.2987, 0.5410], [0.7704, 0.2986, 0.0280], [0.0000, 0.5000, 0.0000], [0.5000, 0.5000, 0.0000], [0.5000, 0.5000, 0.5000], [0.0000, 0.5000, 0.5000], [0.5000, 0.0000, 0.0000], [0.5000, 0.0000, 0.5000], [0.0000, 0.0000, 0.0000], [0.0000, 0.0000, 0.5000]], "formation_energy_uncorrected_ev_per_fu": -17.672, "total_magnetization_mub_per_fu": 0.00}

[22]
{"formula": "Sr2MgZnAu6", "functional": "PBE", "state": "relaxed", "lattice": [[9.2282, -0.0070, -0.0133], [-0.0046, 5.5149, 0.0045], [4.5683, 2.7501, 4.7922]], "species": ["Sr", "Sr", "Mg", "Zn", "Au", "Au", "Au", "Au", "Au", "Au"], "fractional_positions": [[0.2954, 0.7469, 0.5092], [0.7046, 0.2531, 0.4908], [0.5000, 0.5000, 0.0000], [0.0000, 0.0000, 0.0000], [0.2448, 0.7482, 0.0088], [0.7573, 0.7534, 0.9905], [0.1130, 0.2504, 0.5028], [0.7552, 0.2518, 0.9912], [0.2427, 0.2466, 0.0095], [0.8870, 0.7496, 0.4972]], "formation_enthalpy_0k_mev_per_atom": -515, "total_magnetization_mub_per_fu": 0.00}

[23]
{"formula": "Na2InPdO4", "functional": "PBE", "state": "relaxed", "lattice": [[-2.6981, -1.4035, -1.3055], [-0.4821, -3.2311, 4.4702], [-2.9525, 4.8049, 0.9364]], "species": ["Na", "Na", "In", "Pd", "O", "O", "O", "O"], "fractional_positions": [[0.5000, 0.0000, 0.5000], [0.0000, 0.5000, 0.5000], [0.0000, 0.0000, 0.0000], [0.5000, 0.5000, 0.0000], [0.5000, 0.2486, 0.2090], [0.5000, 0.7514, 0.7910], [0.0000, 0.2650, 0.7865], [0.0000, 0.7350, 0.2135]], "formation_energy_uncorrected_ev_per_fu": -9.713, "total_magnetization_mub_per_fu": 0.91}

[24]
{"formula": "Ca2YMo4", "functional": "PBE", "state": "relaxed", "lattice": [[-2.8182, 2.6061, -3.1430], [1.8969, -2.5461, -3.8120], [-6.1564, -5.2747, -2.7688]], "species": ["Y", "Mo", "Mo", "Mo", "Mo", "Ca", "Ca"], "fractional_positions": [[0.0000, 0.0000, 0.0000], [0.8290, 0.8290, 0.3421], [0.1710, 0.1710, 0.6579], [0.0000, 0.5000, 0.0000], [0.5000, 0.0000, 0.0000], [0.6308, 0.6308, 0.7384], [0.3692, 0.3692, 0.2616]], "formation_enthalpy_0k_mev_per_atom": 2040, "total_magnetization_mub_per_fu": 8.44}